(1)
DFT (meta-GGA SCAN) results for a PBEsol-optimized structure of SrMnClO2.

```
SrMnClO2
1.0
3.963 0.000 0.000
0.000 3.963 0.000
0.000 0.000 4.613
Sr Mn O Cl
1 1 2 1
Cartesian
1.981 1.981 2.306
0.000 0.000 0.000
0.000 1.981 0.000
1.981 0.000 0.000
0.000 0.000 2.306
```

Computed properties:
DOS at the Fermi energy (states/eV per cell): 0.4
Raw formation energy (eV/atom): -2.157
Electronic total energy (eV/atom): -14.351
Symmetry: P4/mmm, No. 123
Calculated density (g cm⁻³): 4.814

---

(2)
DFT (meta-GGA SCAN) results for a PBEsol-optimized structure of NaV6O15.

```
NaV6O15
1.0
7.176 0.001 -0.001
1.796 7.687 0.012
-0.001 3.427 9.459
Na V O
2 12 30
Cartesian
1.793 2.089 5.633
7.178 9.027 3.836
3.597 2.851 0.974
7.167 2.846 0.985
3.587 6.282 1.126
7.179 6.300 1.095
7.170 4.691 3.867
3.594 4.682 3.878
1.800 6.425 5.603
5.376 6.434 5.592
1.792 4.816 8.375
5.383 4.834 8.343
1.803 8.270 8.485
5.374 8.265 8.495
5.388 3.077 0.515
1.791 3.006 0.561
7.079 1.722 2.110
3.692 1.732 2.106
1.797 5.876 0.717
5.381 5.881 0.719
3.588 4.395 2.097
7.178 4.392 2.089
3.581 6.927 2.589
7.184 6.929 2.583
3.620 3.187 4.448
7.145 3.200 4.447
1.796 5.195 4.029
5.381 5.232 4.002
7.175 5.921 5.440
3.590 5.884 5.468
1.825 7.916 5.022
5.351 7.929 5.021
5.390 4.189 6.880
1.787 4.187 6.887
1.793 6.724 7.381
5.383 6.721 7.373
7.174 5.240 8.753
3.589 5.235 8.751
3.587 11.113 9.467
5.384 0.003 0.003
1.891 9.393 7.359
5.278 9.384 7.363
3.583 8.038 8.955
7.180 8.110 8.908
```

Computed properties:
DOS at the Fermi energy (states/eV per cell): 4.5
Raw formation energy (eV/atom): -2.524
Electronic total energy (eV/atom): -11.734
Symmetry: P-1, No. 2
Calculated density (g cm⁻³): 3.621

---

(3)
DFT (meta-GGA SCAN) results for a PBEsol-optimized structure of Te2OsRhI.

```
Te2OsRhI
1.0
5.057 0.000 0.000
0.000 5.057 0.000
0.000 0.000 5.144
I Rh Te Os
1 1 2 1
Cartesian
0.000 0.000 2.572
0.000 0.000 0.000
0.000 2.528 0.000
2.528 0.000 0.000
2.528 2.528 2.572
```

Computed properties:
DOS at the Fermi energy (states/eV per cell): 5.3
Raw formation energy (eV/atom): 1.435
Electronic total energy (eV/atom): -41.944
Symmetry: P4/mmm, No. 123
Calculated density (g cm⁻³): 8.524

---

(4)
DFT (meta-GGA SCAN) results for a PBEsol-optimized structure of LaOsBr2.

```
LaOsBr2
1.0
5.025 0.000 0.000
2.512 4.352 0.000
2.512 1.451 4.103
Os Br La
1 2 1
Cartesian
5.025 2.901 2.051
2.512 1.451 1.026
7.537 4.352 3.077
0.000 0.000 0.000
```

Computed properties:
DOS at the Fermi energy (states/eV per cell): 2.6
Raw formation energy (eV/atom): 0.034
Electronic total energy (eV/atom): -38.442
Symmetry: Fm-3m, No. 225
Calculated density (g cm⁻³): 9.050

---

(5)
DFT (meta-GGA SCAN) results for a PBEsol-optimized structure of MgCu2W.

```
MgCu2W
1.0
-1.180 -1.152 -2.089
4.024 -0.212 -2.156
0.767 -4.114 1.835
Cu Mg W
2 1 1
Cartesian
0.383 -2.057 0.918
2.012 -0.106 -1.078
1.805 -2.739 -1.205
-0.590 -0.576 -1.045
```

Computed properties:
DOS at the Fermi energy (states/eV per cell): 2.3
Calculated formation energy (eV per atom): 0.2623
Electronic total energy (eV/atom): -26.003
Symmetry: P4/mmm, No. 123
Calculated density (g cm⁻³): 10.016

---

(6)
DFT (meta-GGA SCAN) results for a PBEsol-optimized structure of SrTc2Ir.

```
SrTc2Ir
1.0
-4.269 0.953 -1.299
-1.715 -1.903 -3.776
-3.249 -3.187 0.325
Ir Sr Tc
1 1 2
Cartesian
-4.616 -2.068 -2.374
-2.308 -1.034 -1.187
0.000 0.000 0.000
-6.924 -3.102 -3.562
```

Computed properties:
DOS at the Fermi energy (states/eV per cell): 5.4
Calculated formation energy (eV per atom): 0.8033
Electronic total energy (eV/atom): -40.070
Symmetry: F-43m, No. 216
Calculated density (g cm⁻³): 11.765

---

(7)
DFT (meta-GGA SCAN) results for a PBEsol-optimized structure of KBa2Mo.

```
KBa2Mo
1.0
-2.719 -4.762 -2.509
3.131 -5.041 -1.073
-1.041 -4.952 3.280
Ba K Mo
2 1 1
Cartesian
-0.472 -11.066 -0.226
-0.157 -3.689 -0.075
0.000 0.000 0.000
-0.315 -7.377 -0.151
```

Computed properties:
DOS at the Fermi energy (states/eV per cell): 3.1
Calculated formation energy (eV per atom): 0.9076
Electronic total energy (eV/atom): -29.671
Symmetry: Fm-3m, No. 225
Calculated density (g cm⁻³): 4.387

---

(8)
DFT (meta-GGA SCAN) results for a PBEsol-optimized structure of La2Pt2I.

```
La2Pt2I
1.0
3.967 0.000 0.000
0.000 3.967 0.000
-1.984 -1.984 8.452
I Pt La
1 2 2
Cartesian
0.000 0.000 0.000
0.000 1.984 4.226
1.984 0.000 4.226
0.000 0.000 6.302
1.984 1.984 2.150
```

Computed properties:
DOS at the Fermi energy (states/eV per cell): 2.7
Raw formation energy (eV/atom): -1.195
Electronic total energy (eV/atom): -53.863
Symmetry: I4/mmm, No. 139
Calculated density (g cm⁻³): 9.922

---

(9)
DFT (meta-GGA SCAN) results for a PBEsol-optimized structure of Hf3NiBr.

```
Hf3NiBr
1.0
-4.726 0.144 0.711
0.693 -0.494 4.705
0.215 4.754 0.467
Ni Hf Br
1 3 1
Cartesian
-1.909 2.202 2.941
0.346 -0.247 2.352
0.108 2.377 0.233
-2.363 0.072 0.356
0.000 0.000 0.000
```

Computed properties:
DOS at the Fermi energy (states/eV per cell): 4.6
Raw formation energy (eV/atom): 1.000
Electronic total energy (eV/atom): -43.730
Symmetry: Pm-3m, No. 221
Calculated density (g cm⁻³): 10.241

---

(10)
DFT (meta-GGA SCAN) results for a PBEsol-optimized structure of KCuI3.

```
KCuI3
1.0
5.463 0.000 0.000
0.000 5.463 0.000
0.000 0.000 5.463
I K Cu
3 1 1
Cartesian
0.000 2.732 0.000
0.000 0.000 2.732
2.732 0.000 0.000
2.732 2.732 2.732
0.000 0.000 0.000
```

Computed properties:
DOS at the Fermi energy (states/eV per cell): 2.4
Raw formation energy (eV/atom): -0.632
Electronic total energy (eV/atom): -27.383
Symmetry: Pm-3m, No. 221
Calculated density (g cm⁻³): 4.922

---

(11)
DFT (meta-GGA SCAN) results for a PBEsol-optimized structure of La3SbO.

```
La3SbO
1.0
4.960 0.000 0.000
0.000 4.960 0.000
0.000 0.000 4.960
Sb O La
1 1 3
Cartesian
2.480 2.480 2.480
0.000 0.000 0.000
0.000 2.480 0.000
0.000 0.000 2.480
2.480 0.000 0.000
```

Computed properties:
DOS at the Fermi energy (states/eV per cell): 4.6
Raw formation energy (eV/atom): -1.744
Electronic total energy (eV/atom): -36.306
Symmetry: Pm-3m, No. 221
Calculated density (g cm⁻³): 7.546

---

(12)
DFT (meta-GGA SCAN) results for a PBEsol-optimized structure of YTe.

```
YTe
1.0
3.924 0.000 0.000
-1.962 5.545 0.012
0.000 -2.600 7.481
Y Te
3 3
Cartesian
0.000 1.922 4.969
0.000 -0.936 2.924
0.000 2.433 0.431
1.962 2.239 7.416
1.962 1.523 2.581
1.962 -0.626 5.400
```

Computed properties:
DOS at the Fermi energy (states/eV per cell): 2.8
Raw formation energy (eV/atom): -1.375
Electronic total energy (eV/atom): -33.922
Symmetry: Cm, No. 8
Calculated density (g cm⁻³): 6.621

---

(13)
DFT (meta-GGA SCAN) results for a PBEsol-optimized structure of KTe2SN.

```
KTe2SN
1.0
4.643 0.000 0.000
0.000 5.965 0.000
0.000 0.000 5.965
K Te S N
1 2 1 1
Cartesian
0.000 0.000 0.000
0.000 0.000 2.983
0.000 2.983 0.000
2.321 2.983 2.983
2.321 0.000 0.000
```

Computed properties:
DOS at the Fermi energy (states/eV per cell): 4.1
Raw formation energy (eV/atom): 1.757
Electronic total energy (eV/atom): -18.593
Symmetry: P4/mmm, No. 123
Calculated density (g cm⁻³): 3.421

---

(14)
DFT (meta-GGA SCAN) results for a PBEsol-optimized structure of Rb5Dy3I12.

```
Rb5Dy3I12
1.0
4.320 0.000 0.000
0.000 14.914 0.000
0.000 -7.457 12.916
Rb Dy I
5 3 12
Cartesian
0.000 7.457 4.305
0.000 0.000 8.611
0.000 2.059 3.567
0.000 -5.398 9.349
0.000 10.795 0.000
2.160 4.989 8.641
2.160 -2.468 4.275
2.160 4.936 0.000
0.000 6.088 10.544
0.000 -1.369 2.372
0.000 2.739 0.000
0.000 3.913 6.778
0.000 -3.544 6.138
0.000 7.087 0.000
2.160 9.865 2.707
2.160 4.869 3.019
2.160 2.408 10.209
2.160 7.637 7.190
2.160 -2.588 9.896
2.160 0.180 5.726
```

Computed properties:
DOS at the Fermi energy (states/eV per cell): 3.3
Raw formation energy (eV/atom): -1.511
Electronic total energy (eV/atom): -35.910
Symmetry: P-62m, No. 189
Calculated density (g cm⁻³): 4.865

---

(15)
DFT (meta-GGA SCAN) results for a PBEsol-optimized structure of Ba2SnS4.

```
Ba2SnS4
1.0
7.368 0.000 0.000
0.000 12.610 0.000
0.000 0.000 17.669
Ba Sn S
16 8 32
Cartesian
5.286 12.593 11.064
2.082 6.288 6.604
5.765 12.593 2.230
1.602 6.288 15.439
5.111 11.102 15.446
2.257 4.797 2.223
5.941 11.102 6.612
1.427 4.797 11.057
5.123 7.758 12.172
2.244 1.453 5.497
5.928 7.758 3.338
1.440 1.453 14.331
5.357 3.308 16.662
2.011 9.613 1.007
5.694 3.308 7.827
1.673 9.613 9.841
5.702 7.699 17.235
1.665 1.394 0.434
5.349 7.699 8.401
2.019 1.394 9.268
5.235 3.403 12.907
2.132 9.708 4.762
5.816 3.403 4.072
1.552 9.708 13.597
7.343 11.459 13.266
0.024 5.154 4.403
3.708 11.459 4.432
3.659 5.154 13.237
7.062 6.100 8.703
0.306 12.405 8.966
3.989 6.100 17.538
3.378 12.405 0.131
7.216 4.126 14.109
0.152 10.431 3.560
3.836 4.126 5.274
3.532 10.431 12.395
7.054 0.558 16.997
0.313 6.863 0.671
3.997 0.558 8.163
3.370 6.863 9.506
6.366 8.219 15.020
1.002 1.914 2.649
4.685 8.219 6.185
2.682 1.914 11.483
6.264 2.907 10.828
1.103 9.212 6.841
4.787 2.907 1.993
2.581 9.212 15.675
5.855 9.714 9.611
1.513 3.409 8.058
5.196 9.714 0.777
2.171 3.409 16.892
4.673 1.414 14.166
2.695 7.719 3.503
6.378 1.414 5.332
0.989 7.719 12.337
```

Computed properties:
DOS at the Fermi energy (states/eV per cell): 0.0
Raw formation energy (eV/atom): -1.613
Electronic total energy (eV/atom): -23.546
Symmetry: Pna2_1, No. 33
Calculated density (g cm⁻³): 4.221

---

(16)
DFT (meta-GGA SCAN) results for a PBEsol-optimized structure of Ag4HgGe2S7.

```
Ag4HgGe2S7
1.0
-1.206 6.164 -2.483
-7.459 -5.578 -1.037
-3.105 3.170 9.377
Ag Hg Ge S
8 2 4 14
Cartesian
-7.633 -4.507 -1.448
-9.977 1.125 1.610
-2.574 2.878 2.528
-4.562 6.690 6.319
-4.036 1.056 -0.790
-6.089 5.200 2.867
-6.019 0.758 2.709
-7.296 0.937 7.965
-6.045 -2.886 1.832
-8.393 2.766 4.882
-7.625 -0.534 -0.749
-8.766 -1.048 4.785
-3.963 5.168 -0.388
-4.733 2.756 5.910
-2.551 2.761 5.032
-1.803 5.286 -1.312
-3.780 0.891 1.631
-5.015 0.854 6.973
-4.894 3.415 -1.453
-6.036 2.905 4.080
-5.731 -0.359 -1.897
-6.785 -1.317 3.817
-7.669 1.132 0.732
-8.459 -1.177 6.990
-9.820 0.814 4.142
-7.920 -2.548 0.170
-3.894 4.858 1.779
-5.054 4.440 7.275
```

Computed properties:
Raw formation energy (eV/atom): -0.261
Electronic total energy (eV/atom): -21.633
Symmetry: Cc, No. 9
Calculated density (g cm⁻³): 5.438

---

(17)
DFT (meta-GGA SCAN) results for a PBEsol-optimized structure of Na5Ga3F14.

```
Na5Ga3F14
1.0
7.218 0.000 0.000
0.000 7.293 -0.005
0.000 0.136 10.363
Na Ga F
10 6 28
Cartesian
5.513 2.039 2.465
5.811 2.008 7.766
3.609 3.647 -0.002
1.705 5.390 7.893
1.904 1.676 2.714
2.202 1.842 7.777
5.315 5.753 7.644
1.407 5.421 2.593
5.017 5.587 2.582
0.000 0.068 5.182
3.609 0.068 5.182
3.609 3.714 5.179
0.000 3.647 -0.002
0.000 0.000 0.000
3.609 0.000 0.000
0.000 3.714 5.179
1.828 4.203 4.674
6.056 4.017 8.901
4.082 1.380 9.031
3.137 6.049 1.327
0.585 5.624 10.353
4.771 0.302 3.722
1.781 0.624 9.858
5.093 0.370 6.317
7.200 5.170 6.392
3.230 3.841 6.998
5.438 6.805 0.501
5.390 3.226 5.685
6.839 7.302 8.540
0.473 2.471 6.511
3.591 5.974 9.146
3.628 1.455 1.213
3.024 1.909 5.174
1.162 3.412 1.457
6.633 1.805 0.006
4.194 5.520 5.185
1.483 3.480 9.225
2.126 7.059 4.041
3.988 3.588 3.360
2.447 7.127 6.637
6.746 4.958 3.847
0.018 2.259 3.967
5.735 3.948 1.133
0.379 0.126 1.819
```

Computed properties:
DOS at the Fermi energy (states/eV per cell): 0.0
Raw formation energy (eV/atom): -2.928
Electronic total energy (eV/atom): -8.367
Symmetry: P2_1/c, No. 14
Calculated density (g cm⁻³): 3.592

---

(18)
DFT (meta-GGA SCAN) results for a PBEsol-optimized structure of TaRuSe.

```
TaRuSe
1.0
4.259 0.000 0.000
2.130 3.689 0.000
2.130 1.230 3.478
Ru Se Ta
1 1 1
Cartesian
0.000 0.000 0.000
4.259 2.459 1.739
2.130 1.230 0.869
```

Computed properties:
DOS at the Fermi energy (states/eV per cell): 2.1
Raw formation energy (eV/atom): 0.201
Electronic total energy (eV/atom): -40.295
Symmetry: F-43m, No. 216
Calculated density (g cm⁻³): 10.970

---

(19)
DFT (meta-GGA SCAN) results for a PBEsol-optimized structure of Ba2TcTe.

```
Ba2TcTe
1.0
-3.011 4.607 -1.326
-5.181 -0.588 -2.361
-4.614 1.355 3.104
Ba Tc Te
2 1 1
Cartesian
-8.131 1.709 0.235
-4.676 3.665 -0.819
-1.506 2.303 -0.663
-4.898 0.384 0.371
```

Computed properties:
DOS at the Fermi energy (states/eV per cell): 1.2
Raw formation energy (eV/atom): -0.019
Electronic total energy (eV/atom): -37.872
Symmetry: Immm, No. 71
Calculated density (g cm⁻³): 6.244